Compound: KCoReO6
Source: Alexandria via LeMat-Bulk
Functional: GGA+U
Structure: relaxed

Cell: 5.1174 8.7813 5.9917 Å, 90.00 90.37 90.00°
Space group C2 (No. 5)
Inequivalent atoms, fractional coordinates:
1 K 0.0000 0.0000 0.0000
2 Co 0.0000 0.3298 0.5000
3 Re 0.0000 0.6665 0.5000
4 O 0.1022 0.4988 0.6788
5 O 0.1949 0.1974 0.6776
6 O 0.1972 0.8018 0.6784

## Properties
As for the crystal system: monoclinic. The uncorrected energy comes out at -6.707 eV per atom.